Record 1
{"formula": "NaCeCd2Au4", "functional": "PBE-GGA", "state": "optimized geometry", "lattice_angstrom": [[4.888, 0.000, 0.000], [2.444, 4.233, 0.000], [2.444, 1.411, 8.340]], "species": ["Na", "Ce", "Cd", "Cd", "Au", "Au", "Au", "Au"], "fractional_positions": [[0.500, 0.500, 0.500], [0.000, 0.000, 0.000], [0.755, 0.755, 0.736], [0.245, 0.245, 0.264], [0.383, 0.383, 0.850], [0.877, 0.877, 0.368], [0.123, 0.123, 0.632], [0.617, 0.617, 0.150]], "e_tot_ev_per_atom": -3.182}


Record 2
{"formula": "CeNdCdAu", "functional": "PBE-GGA", "state": "optimized geometry", "lattice_angstrom": [[-2.735, -4.573, 0.334], [2.303, -4.598, -1.433], [1.285, -3.613, 3.714]], "species": ["Nd", "Au", "Ce", "Cd"], "fractional_positions": [[0.750, 0.750, 0.750], [0.000, 0.000, 0.000], [0.250, 0.250, 0.250], [0.500, 0.500, 0.500]], "e_tot_ev_per_atom": -4.124}


Record 3
{"formula": "CeCdPbAu", "functional": "PBE-GGA", "state": "optimized geometry", "lattice_angstrom": [[5.209, 0.000, 0.000], [2.605, 4.511, 0.000], [2.605, 1.504, 4.253]], "species": ["Pb", "Au", "Ce", "Cd"], "fractional_positions": [[0.250, 0.250, 0.250], [0.750, 0.750, 0.750], [0.500, 0.500, 0.500], [0.000, 0.000, 0.000]], "e_tot_ev_per_atom": -3.828}


Record 4
{"formula": "Ce2CdPbAu4", "functional": "PBE-GGA", "state": "optimized geometry", "lattice_angstrom": [[-1.250, 2.800, 4.024], [-4.528, -0.584, 2.180], [1.256, -5.095, 7.116]], "species": ["Ce", "Ce", "Cd", "Pb", "Au", "Au", "Au", "Au"], "fractional_positions": [[0.748, 0.748, 0.755], [0.252, 0.252, 0.245], [0.500, 0.500, 0.500], [0.000, 0.000, 0.000], [0.380, 0.380, 0.860], [0.870, 0.870, 0.391], [0.130, 0.130, 0.609], [0.620, 0.620, 0.140]], "e_tot_ev_per_atom": -4.270}


Please write out number 4 again, unchanged.
{"formula": "Ce2CdPbAu4", "functional": "PBE-GGA", "state": "optimized geometry", "lattice_angstrom": [[-1.250, 2.800, 4.024], [-4.528, -0.584, 2.180], [1.256, -5.095, 7.116]], "species": ["Ce", "Ce", "Cd", "Pb", "Au", "Au", "Au", "Au"], "fractional_positions": [[0.748, 0.748, 0.755], [0.252, 0.252, 0.245], [0.500, 0.500, 0.500], [0.000, 0.000, 0.000], [0.380, 0.380, 0.860], [0.870, 0.870, 0.391], [0.130, 0.130, 0.609], [0.620, 0.620, 0.140]], "e_tot_ev_per_atom": -4.270}